Record 1
A plane-wave DFT calculation with PBE was carried out for crystalline Ba2ZnCo at its relaxed geometry.

Lattice parameters (Å, degrees): 7.6432 7.6432 7.6432 90.00 90.00 90.00
Space group F-43m (No. 216)
Symmetry-distinct sites (fractional):
1 Ba 0.0000 0.0000 0.0000 (multiplicity 4)
2 Ba 0.2500 0.2500 0.2500 (multiplicity 4)
3 Zn 0.0000 0.0000 0.5000 (multiplicity 4)
4 Co 0.2500 0.2500 0.7500 (multiplicity 4)

Calculated values
ΔH_f (0 K) = 0.5086 eV/atom
Spin magnetization = 5.83 μB per cell

***

Record 2
A plane-wave DFT calculation with PBE was carried out for crystalline BaZn2Co at its relaxed geometry.

Lattice parameters (Å, degrees): 4.2907 4.2907 17.2867 90.00 90.00 120.00
Space group R-3m (No. 166, hexagonal axes)
Symmetry-distinct sites (fractional):
1 Ba 0.0000 0.0000 0.0000 (multiplicity 3)
2 Zn 0.0000 0.0000 0.1910 (multiplicity 6)
3 Co 0.0000 0.0000 0.5000 (multiplicity 3)

Calculated values
ΔH_f (0 K) = -0.0023 eV/atom
Spin magnetization = 1.25 μB per cell

***

Record 3
A plane-wave DFT calculation with PBE was carried out for crystalline BaZn2Co at its relaxed geometry.

Lattice parameters (Å, degrees): 4.3491 4.3491 4.9531 90.00 90.00 90.00
Space group P4/mmm (No. 123)
Symmetry-distinct sites (fractional):
1 Ba 0.0000 0.0000 0.0000 (multiplicity 1)
2 Zn 0.0000 0.5000 0.5000 (multiplicity 2)
3 Co 0.5000 0.5000 0.0000 (multiplicity 1)

Calculated values
ΔH_f (0 K) = 0.5345 eV/atom
Spin magnetization = 1.21 μB per cell

***

Record 4
A plane-wave DFT calculation with PBE was carried out for crystalline BaZn2Co at its relaxed geometry.

Lattice parameters (Å, degrees): 7.4982 4.3273 6.1959 90.00 113.88 90.00
Space group Cm (No. 8)
Symmetry-distinct sites (fractional):
1 Ba 0.0000 0.0000 0.0000 (multiplicity 2)
2 Zn 0.0126 0.5000 0.5350 (multiplicity 2)
3 Zn 0.3143 0.5000 0.4404 (multiplicity 2)
4 Co 0.1854 0.0000 0.5530 (multiplicity 2)

Calculated values
ΔH_f (0 K) = -0.0166 eV/atom
Spin magnetization = 0.89 μB per cell

***

Record 5
A plane-wave DFT calculation with PBE was carried out for crystalline Ba2ZnCo at its relaxed geometry.

Lattice parameters (Å, degrees): 4.5043 4.6817 12.7784 90.00 90.00 90.00
Space group Amm2 (No. 38)
Symmetry-distinct sites (fractional):
1 Ba 0.0000 0.0000 0.0000 (multiplicity 2)
2 Ba 0.5000 0.0000 0.2713 (multiplicity 2)
3 Zn 0.5000 0.0000 0.5863 (multiplicity 2)
4 Co 0.0000 0.0000 0.6622 (multiplicity 2)

Calculated values
ΔH_f (0 K) = 0.1374 eV/atom
Spin magnetization = 0.93 μB per cell

***

Record 6
A plane-wave DFT calculation with PBE was carried out for crystalline Ba2ZnCo at its relaxed geometry.

Lattice parameters (Å, degrees): 8.5863 8.5863 7.0605 90.00 90.00 90.00
Space group I-42d (No. 122)
Symmetry-distinct sites (fractional):
1 Ba 0.2032 0.2500 0.1250 (multiplicity 8)
2 Zn 0.0000 0.0000 0.5000 (multiplicity 4)
3 Co 0.0000 0.0000 0.0000 (multiplicity 4)

Calculated values
ΔH_f (0 K) = 0.5144 eV/atom
Spin magnetization = 2.26 μB per cell

***

Record 7
A plane-wave DFT calculation with PBE was carried out for crystalline Ba2ZnCo at its relaxed geometry.

Lattice parameters (Å, degrees): 3.6747 3.6747 9.2136 90.00 90.00 90.00
Space group P4mm (No. 99)
Symmetry-distinct sites (fractional):
1 Ba 0.0000 0.0000 0.0000 (multiplicity 1)
2 Ba 0.5000 0.5000 0.4334 (multiplicity 1)
3 Zn 0.5000 0.5000 0.7625 (multiplicity 1)
4 Co 0.0000 0.0000 0.6859 (multiplicity 1)

Calculated values
ΔH_f (0 K) = 0.2637 eV/atom
Spin magnetization = 1.14 μB per cell

***

Record 8
A plane-wave DFT calculation with PBE was carried out for crystalline BaZn2Co at its relaxed geometry.

Lattice parameters (Å, degrees): 4.0970 4.0982 5.9855 90.00 90.12 90.00
Space group Pm (No. 6)
Symmetry-distinct sites (fractional):
1 Ba 0.0000 0.0000 0.0000 (multiplicity 1)
2 Zn 0.0015 0.5000 0.4830 (multiplicity 1)
3 Zn 0.5014 0.0000 0.4831 (multiplicity 1)
4 Co 0.5008 0.5000 0.2835 (multiplicity 1)

Calculated values
ΔH_f (0 K) = 0.1675 eV/atom
Spin magnetization = 0.70 μB per cell